Computed, not measured: a relaxed KCrRe2 crystal at the PBE level of DFT.

Cell: 4.5761 4.5761 4.5761 Å, 60.00 60.00 60.00°
Each line ends with the local moment (μB).
Fractional positions:
Cr 0.5000 0.5000 0.5000  2.92
K 0.7500 0.7500 0.7500  0.04
Re 0.0000 0.0000 0.0000  0.27
Re 0.2500 0.2500 0.2500  -0.65

Output
crystal system	cubic
total moment	0.704	μB per atom
ΔE to the lowest computed polymorph	755	meV/atom
energy relative to the elements	6.067	eV/f.u.
space-group type	F-43m, No. 216
DFT total energy	-7.39	eV/atom


Computed, not measured: a relaxed KCr2Re crystal at the PBE level of DFT.

Cell: 4.1417 4.1417 7.8940 Å, 85.68 85.68 40.91°
Each line ends with the local moment (μB).
Fractional positions:
Cr 0.9985 0.9985 0.0165  -1.46
Cr 0.7275 0.7275 0.8550  3.16
K 0.5006 0.5006 0.4899  0.02
Re 0.2734 0.2734 0.1386  0.41

Output
crystal system	monoclinic
total moment	0.646	μB per atom
ΔE to the lowest computed polymorph	218	meV/atom
energy relative to the elements	4.049	eV/f.u.
space-group type	Cm, No. 8
DFT total energy	-7.19	eV/atom


Computed, not measured: a relaxed KCrRe2 crystal at the PBE level of DFT.

Cell: 3.7877 2.6560 8.3806 Å, 79.76 90.00 90.00°
Each line ends with the local moment (μB).
Fractional positions:
Cr 0.5000 0.2500 0.2500  0.39
K 0.5000 0.7500 0.7500  0.00
Re 0.0000 0.8356 0.1023  -0.04
Re 0.0000 0.6644 0.3977  -0.04

Output
crystal system	monoclinic
total moment	0.089	μB per atom
ΔE to the lowest computed polymorph	163	meV/atom
energy relative to the elements	3.699	eV/f.u.
space-group type	P2/m, No. 10
DFT total energy	-7.98	eV/atom


Computed, not measured: a relaxed KCrRe2 crystal at the PBE level of DFT.

Cell: 5.1414 5.1414 2.5739 Å, 90.00 90.00 90.00°
Each line ends with the local moment (μB).
Fractional positions:
Cr 0.5000 0.0000 0.5000  0.49
K 0.0000 0.5000 0.5000  0.00
Re 0.0000 0.0000 0.0000  -0.07
Re 0.5000 0.5000 0.0000  -0.07

Output
crystal system	tetragonal
total moment	0.094	μB per atom
ΔE to the lowest computed polymorph	1154	meV/atom
energy relative to the elements	7.661	eV/f.u.
space-group type	P4/mmm, No. 123
DFT total energy	-6.99	eV/atom


Computed, not measured: a relaxed KCrRe2 crystal at the PBE level of DFT.

Cell: 5.1053 3.7616 3.7616 Å, 90.00 90.00 90.00°
Each line ends with the local moment (μB).
Fractional positions:
Cr 0.5000 0.5000 0.0000  3.68
K 0.5000 0.0000 0.5000  0.09
Re 0.0000 0.0000 0.0000  -0.18
Re 0.0000 0.5000 0.5000  -0.18

Output
crystal system	tetragonal
total moment	0.950	μB per atom
ΔE to the lowest computed polymorph	872	meV/atom
energy relative to the elements	6.534	eV/f.u.
space-group type	P4/mmm, No. 123
DFT total energy	-7.27	eV/atom


Computed, not measured: a relaxed KCr2Re crystal at the PBE level of DFT.

Cell: 5.9681 5.9681 5.9681 Å, 150.44 121.12 67.26°
Each line ends with the local moment (μB).
Fractional positions:
Cr 0.0608 0.0608 0.0000  2.92
Cr 0.4392 0.4392 0.0000  2.92
K 0.7500 0.2500 0.5000  0.00
Re 0.2500 0.7500 0.5000  -1.27

Output
crystal system	orthorhombic
total moment	1.251	μB per atom
ΔE to the lowest computed polymorph	597	meV/atom
energy relative to the elements	5.568	eV/f.u.
space-group type	Immm, No. 71
DFT total energy	-6.81	eV/atom


Computed, not measured: a relaxed KCr2Re crystal at the PBE level of DFT.

Cell: 5.8561 5.8561 5.8561 Å, 152.72 127.69 59.99°
Each line ends with the local moment (μB).
Fractional positions:
Cr 0.9963 0.9963 0.0000  2.81
Cr 0.7869 0.2869 0.5000  -2.95
K 0.5035 0.5035 0.0000  0.04
Re 0.2133 0.7133 0.5000  -0.07

Output
crystal system	orthorhombic
total moment	0.041	μB per atom
ΔE to the lowest computed polymorph	456	meV/atom
energy relative to the elements	5.003	eV/f.u.
space-group type	Imm2, No. 44
DFT total energy	-6.95	eV/atom


Computed, not measured: a relaxed KCr2Re crystal at the PBE level of DFT.

Cell: 5.0979 5.0979 2.8107 Å, 90.00 90.00 91.35°
Each line ends with the local moment (μB).
Fractional positions:
Cr 0.0000 0.0000 0.0000  3.49
Cr 0.5000 0.5000 0.0000  3.49
K 0.5000 0.0000 0.5000  0.11
Re 0.0000 0.5000 0.5000  -0.72

Output
crystal system	orthorhombic
total moment	1.790	μB per atom
ΔE to the lowest computed polymorph	624	meV/atom
energy relative to the elements	5.674	eV/f.u.
space-group type	Cmmm, No. 65
DFT total energy	-6.78	eV/atom


Computed, not measured: a relaxed KCrRe4 crystal at the PBE level of DFT.

Cell: 5.3193 5.3193 5.3193 Å, 60.00 60.00 60.00°
Each line ends with the local moment (μB).
Fractional positions:
K 0.0000 0.0000 0.0000  0.01
Cr 0.7500 0.7500 0.7500  -2.88
Re 0.3751 0.8747 0.3751  0.23
Re 0.8747 0.3751 0.3751  0.23
Re 0.3751 0.3751 0.8747  0.23
Re 0.3751 0.3751 0.3751  0.23

Output
crystal system	cubic
total moment	0.336	μB per atom
energy relative to the elements	6.360	eV/f.u.
space-group type	F-43m, No. 216
DFT total energy	-9.03	eV/atom


Computed, not measured: a relaxed KCrRe2 crystal at the PBE level of DFT.

Cell: 5.7104 5.7104 2.5692 Å, 90.00 90.00 124.27°
Each line ends with the local moment (μB).
Fractional positions:
Cr 0.5000 0.0000 0.5000  2.46
K 0.0000 0.5000 0.5000  0.03
Re 0.0000 0.0000 0.0000  -0.12
Re 0.5000 0.5000 0.0000  -0.12

Output
crystal system	orthorhombic
total moment	0.617	μB per atom
ΔE to the lowest computed polymorph	726	meV/atom
energy relative to the elements	5.949	eV/f.u.
space-group type	Cmmm, No. 65
DFT total energy	-7.42	eV/atom


Computed, not measured: a relaxed KCrRe2 crystal at the PBE level of DFT.

Cell: 2.7278 2.7278 10.1588 Å, 90.00 90.00 111.70°
Fractional positions:
Cr 0.0000 0.0000 0.4472
K 0.5000 0.5000 0.7497
Re 0.0000 0.0000 0.0430
Re 0.5000 0.5000 0.2601

Output
crystal system	orthorhombic
total moment	0.004	μB per atom
ΔE to the lowest computed polymorph	126	meV/atom
energy relative to the elements	3.549	eV/f.u.
space-group type	Cmm2, No. 35
DFT total energy	-8.02	eV/atom


Computed, not measured: a relaxed KCr2Re crystal at the PBE level of DFT.

Cell: 4.7027 4.7027 6.8613 Å, 86.10 86.10 35.43°
Fractional positions:
Cr 0.9812 0.9812 0.1414
Cr 0.5188 0.5188 0.3586
K 0.7500 0.7500 0.7500
Re 0.2500 0.2500 0.2500

Output
crystal system	monoclinic
total moment	0.000	μB per atom
ΔE to the lowest computed polymorph	119	meV/atom
energy relative to the elements	3.654	eV/f.u.
space-group type	C2/m, No. 12
DFT total energy	-7.28	eV/atom


Computed, not measured: a relaxed KCrRe2 crystal at the PBE level of DFT.

Cell: 2.8003 4.7619 5.3134 Å, 90.00 90.00 90.00°
Each line ends with the local moment (μB).
Fractional positions:
Cr 0.5000 0.0000 0.5000  3.51
K 0.0000 0.5000 0.5000  0.07
Re 0.0000 0.0000 0.0000  -0.23
Re 0.5000 0.5000 0.0000  -0.15

Output
crystal system	orthorhombic
total moment	0.884	μB per atom
ΔE to the lowest computed polymorph	747	meV/atom
energy relative to the elements	6.032	eV/f.u.
space-group type	Pmmm, No. 47
DFT total energy	-7.40	eV/atom


Computed, not measured: a relaxed KCrRe2 crystal at the PBE level of DFT.

Cell: 5.7516 5.2541 2.6497 Å, 77.92 82.25 114.11°
Each line ends with the local moment (μB).
Fractional positions:
Cr 0.5000 0.5000 0.0000  2.95
K 0.5000 0.0000 0.5000  0.05
Re 0.0000 0.0000 0.0000  -0.22
Re 0.0000 0.5000 0.5000  -0.22

Output
crystal system	monoclinic
total moment	0.707	μB per atom
ΔE to the lowest computed polymorph	683	meV/atom
energy relative to the elements	5.778	eV/f.u.
space-group type	C2/m, No. 12
DFT total energy	-7.46	eV/atom


Computed, not measured: a relaxed K4CrRe crystal at the PBE level of DFT.

Cell: 6.9420 6.9420 6.9420 Å, 60.00 60.00 60.00°
Each line ends with the local moment (μB).
Fractional positions:
K 0.8742 0.3753 0.3753  -0.02
K 0.3753 0.3753 0.8742  -0.02
K 0.3753 0.8742 0.3753  -0.02
K 0.3753 0.3753 0.3753  -0.02
Cr 0.0000 0.0000 0.0000  -4.22
Re 0.7500 0.7500 0.7500  3.22

Output
crystal system	cubic
total moment	0.267	μB per atom
energy relative to the elements	9.826	eV/f.u.
space-group type	F-43m, No. 216
DFT total energy	-2.77	eV/atom